A plane-wave DFT calculation with GGA-PBE was carried out for crystalline NbVGe2 at its relaxed geometry.

Properties
Energy above the most stable polymorph in this dataset, meV per atom: 150
Space group: P4/mmm (123)
Total magnetization, μB per formula unit: 0.03
Density of states at the Fermi level, states/eV per atom: 0.751
Total energy, eV/atom: -7.154

a = 4.703 Å, b = 4.703 Å, c = 2.852 Å
α = 90.00°, β = 90.00°, γ = 90.00°
Fractional positions:
Nb  0.000  0.000  0.000
V  0.500  0.500  0.000
Ge  0.000  0.500  0.500
Ge  0.500  0.000  0.500